[1]
# NdH2Pd3

An optimized crystal structure of NdH2Pd3 (PBE, the Alexandria database).

Cell: 5.5065 5.5065 3.0414 Å, 90.00 90.00 120.00°
Space group P6/mmm (No. 191)
Inequivalent atoms, fractional coordinates:
Nd1 0.0000 0.0000 0.0000 [1 per cell]
H1 0.3333 0.6667 0.0000 [2 per cell]
Pd1 0.0000 0.5000 0.5000 [3 per cell]

Computed properties:
- calculated total energy (eV/atom) = -4.785
- calculated volume (Å³/atom) = 13.31

***

[2]
# NdH6Pd3

An optimized crystal structure of NdH6Pd3 (PBE, the Alexandria database).

Cell: 7.106 3.893 7.454 Å, 90.00 104.60 90.00°
Space group P2_1/m (No. 11)
Inequivalent atoms, fractional coordinates:
Nd1 0.203 0.250 0.151 [2 per cell]
H1 0.012 0.750 0.213 [2 per cell]
H2 0.116 0.250 0.474 [2 per cell]
H3 0.142 0.750 0.965 [2 per cell]
H4 0.326 0.750 0.354 [2 per cell]
H5 0.343 0.750 0.650 [2 per cell]
H6 0.420 0.250 0.879 [2 per cell]
Pd1 0.128 0.750 0.452 [2 per cell]
Pd2 0.376 0.750 0.894 [2 per cell]
Pd3 0.428 0.250 0.618 [2 per cell]

Computed properties:
- calculated total energy (eV/atom) = -4.334
- calculated volume (Å³/atom) = 9.98
- relative energy among the computed polymorphs (meV/atom) = 35.3

***

[3]
# NdH8PdPt2

An optimized crystal structure of NdH8PdPt2 (PBE, the Alexandria database).

Cell: 4.9596 4.9596 6.1471 Å, 90.00 90.00 120.00°
Space group P-3m1 (No. 164)
Inequivalent atoms, fractional coordinates:
Nd1 0.0000 0.0000 0.0000 [1 per cell]
H1 0.1721 0.3443 0.3368 [6 per cell]
H2 0.3333 0.6667 0.8907 [2 per cell]
Pd1 0.0000 0.0000 0.5000 [1 per cell]
Pt1 0.3333 0.6667 0.1579 [2 per cell]

Computed properties:
- calculated total energy (eV/atom) = -4.221
- calculated volume (Å³/atom) = 10.91

***

[4]
# NdH8Pd4Pt

An optimized crystal structure of NdH8Pd4Pt (PBE, the Alexandria database).

Cell: 5.8009 5.8009 14.3604 Å, 90.00 90.00 120.00°
Space group R3m (No. 160, hexagonal axes)
Inequivalent atoms, fractional coordinates:
Nd1 0.0000 0.0000 0.0000 [3 per cell]
H1 0.0000 0.0000 0.3875 [3 per cell]
H2 0.0000 0.0000 0.8438 [3 per cell]
H3 0.0948 0.5474 0.3840 [9 per cell]
H4 0.1810 0.3619 0.2126 [9 per cell]
Pd1 0.0000 0.0000 0.2528 [3 per cell]
Pd2 0.0059 0.5030 0.1272 [9 per cell]
Pt1 0.0000 0.0000 0.6242 [3 per cell]

Computed properties:
- calculated total energy (eV/atom) = -4.356
- calculated volume (Å³/atom) = 9.96

***

[5]
# Nd2HPd6Pt

An optimized crystal structure of Nd2HPd6Pt (PBE, the Alexandria database).

Cell: 5.604 5.643 7.225 Å, 67.30 67.19 60.28°
Space group P-1 (No. 2)
Inequivalent atoms, fractional coordinates:
Nd1 0.214 0.223 0.350 [2 per cell]
H1 0.000 0.000 0.000 [1 per cell]
Pd1 0.228 0.711 0.832 [2 per cell]
Pd2 0.231 0.217 0.820 [2 per cell]
Pd3 0.270 0.783 0.179 [2 per cell]
Pt1 0.500 0.500 0.500 [1 per cell]

Computed properties:
- calculated total energy (eV/atom) = -5.621
- calculated volume (Å³/atom) = 17.75

***

[6]
# NdH8Pd3Pt2

An optimized crystal structure of NdH8Pd3Pt2 (PBE, the Alexandria database).

Cell: 5.8078 5.8078 14.3227 Å, 90.00 90.00 120.00°
Space group R3m (No. 160, hexagonal axes)
Inequivalent atoms, fractional coordinates:
Nd1 0.0000 0.0000 0.0000 [3 per cell]
H1 0.0000 0.0000 0.3806 [3 per cell]
H2 0.0000 0.0000 0.8439 [3 per cell]
H3 0.0969 0.5485 0.3840 [9 per cell]
H4 0.1721 0.3441 0.2146 [9 per cell]
Pd1 0.0066 0.5033 0.1281 [9 per cell]
Pt1 0.0000 0.0000 0.2522 [3 per cell]
Pt2 0.0000 0.0000 0.6251 [3 per cell]

Computed properties:
- calculated total energy (eV/atom) = -4.387
- calculated volume (Å³/atom) = 9.96